Run i
Computed, not measured: Zn3AgB after structural relaxation at the PBE level of DFT.

- Space-group type: Pm-3m, No. 221

Lattice parameters (Å, degrees): 4.848 4.848 4.848 90.00 90.00 90.00
Element x y z (fractional)
Zn  0.000  0.000  0.500
Zn  0.000  0.500  0.000
Zn  0.500  0.000  0.000
Ag  0.000  0.000  0.000
B  0.500  0.500  0.500


Run ii
Computed, not measured: Zn3AgB after structural relaxation at the PBE level of DFT.

- Space-group type: Pm-3m, No. 221

Lattice parameters (Å, degrees): 4.207 4.207 4.207 90.00 90.00 90.00
Element x y z (fractional)
Zn  0.000  0.000  0.500
Zn  0.000  0.500  0.000
Zn  0.500  0.000  0.000
Ag  0.500  0.500  0.500
B  0.000  0.000  0.000


From most stable to least stable, the computed energies give run ii, run i.


Run i
Computed, not measured: Zr3AgB after structural relaxation at the PBE level of DFT.

- Space-group type: Pm-3m, No. 221

Lattice parameters (Å, degrees): 4.632 4.632 4.632 90.00 90.00 90.00
Element x y z (fractional)
Zr  0.000  0.000  0.500
Zr  0.000  0.500  0.000
Zr  0.500  0.000  0.000
Ag  0.500  0.500  0.500
B  0.000  0.000  0.000


Run ii
Computed, not measured: Zr3AgB after structural relaxation at the PBE level of DFT.

- Space-group type: Pm-3m, No. 221

Lattice parameters (Å, degrees): 5.077 5.077 5.077 90.00 90.00 90.00
Element x y z (fractional)
Zr  0.000  0.000  0.500
Zr  0.000  0.500  0.000
Zr  0.500  0.000  0.000
Ag  0.000  0.000  0.000
B  0.500  0.500  0.500


From most stable to least stable, the computed energies give run i, run ii.


Run i
Computed, not measured: ZrAg2B2 after structural relaxation at the PBE level of DFT.

- Space-group type: P4/mbm, No. 127

Lattice parameters (Å, degrees): 6.894 6.894 2.974 90.00 90.00 90.00
Element x y z (fractional)
Zr  0.000  0.000  0.000
Zr  0.500  0.500  0.000
Ag  0.143  0.357  0.500
Ag  0.357  0.857  0.500
Ag  0.643  0.143  0.500
Ag  0.857  0.643  0.500
B  0.163  0.663  0.000
B  0.337  0.163  0.000
B  0.663  0.837  0.000
B  0.837  0.337  0.000


Run ii
Computed, not measured: ZrAg2B2 after structural relaxation at the PBE level of DFT.

- Space-group type: I4/mmm, No. 139

Lattice parameters (Å, degrees): 5.566 5.566 5.566 140.84 140.84 56.59
Element x y z (fractional)
Zr  0.000  0.000  0.000
Ag  0.250  0.750  0.500
Ag  0.750  0.250  0.500
B  0.417  0.417  0.000
B  0.583  0.583  0.000


From most stable to least stable, the computed energies give run ii, run i.


Run i
Computed, not measured: ZrAgB3 after structural relaxation at the PBE level of DFT.

- Space-group type: Pm-3m, No. 221

Lattice parameters (Å, degrees): 4.120 4.120 4.120 90.00 90.00 90.00
Element x y z (fractional)
Zr  0.000  0.000  0.000
Ag  0.500  0.500  0.500
B  0.000  0.500  0.500
B  0.500  0.000  0.500
B  0.500  0.500  0.000


Run ii
Computed, not measured: ZrAgB3 after structural relaxation at the PBE level of DFT.

- Space-group type: Pm-3m, No. 221

Lattice parameters (Å, degrees): 4.438 4.438 4.438 90.00 90.00 90.00
Element x y z (fractional)
Zr  0.000  0.000  0.000
Ag  0.500  0.500  0.500
B  0.000  0.000  0.500
B  0.000  0.500  0.000
B  0.500  0.000  0.000


From most stable to least stable, the computed energies give run i, run ii.


Run i
Computed, not measured: Ba4Ag after structural relaxation at the PBE level of DFT.

- Space-group type: I4/m, No. 87

Lattice parameters (Å, degrees): 8.057 8.057 8.057 94.01 94.01 149.35
Element x y z (fractional)
Ba  0.067  0.253  0.320
Ba  0.253  0.933  0.186
Ba  0.747  0.067  0.814
Ba  0.933  0.747  0.680
Ag  0.500  0.500  0.000


Run ii
Computed, not measured: Ba4Ag after structural relaxation at the PBE level of DFT.

- Space-group type: Im-3m, No. 229

Lattice parameters (Å, degrees): 7.041 7.041 7.041 109.47 109.47 109.47
Element x y z (fractional)
Ba  0.000  0.000  0.500
Ba  0.000  0.500  0.000
Ba  0.500  0.000  0.000
Ba  0.500  0.500  0.500
Ag  0.000  0.000  0.000


From most stable to least stable, the computed energies give run i, run ii.


Run i
Computed, not measured: Ba4Ag after structural relaxation at the PBE level of DFT.

- Space-group type: P2/c, No. 13

Lattice parameters (Å, degrees): 8.033 9.345 8.129 90.00 109.38 90.00
Element x y z (fractional)
Ba  0.248  0.118  0.005
Ba  0.248  0.882  0.505
Ba  0.251  0.373  0.495
Ba  0.251  0.627  0.995
Ba  0.749  0.373  0.005
Ba  0.749  0.627  0.505
Ba  0.752  0.118  0.495
Ba  0.752  0.882  0.995
Ag  0.000  0.368  0.750
Ag  0.000  0.632  0.250


Run ii
Computed, not measured: Ba4Ag after structural relaxation at the PBE level of DFT.

- Space-group type: Fdd2, No. 43

Lattice parameters (Å, degrees): 9.326 9.002 11.172 53.77 51.14 75.09
Element x y z (fractional)
Ba  0.206  0.294  0.958
Ba  0.212  0.787  0.456
Ba  0.292  0.708  0.044
Ba  0.294  0.206  0.542
Ba  0.705  0.794  0.463
Ba  0.708  0.292  0.956
Ba  0.787  0.212  0.545
Ba  0.794  0.705  0.038
Ag  0.243  0.243  0.257
Ag  0.993  0.993  0.007


From most stable to least stable, the computed energies give run ii, run i.


Run i
Computed, not measured: Ba5Ag3 after structural relaxation at the PBE level of DFT.

- Space-group type: P4/ncc, No. 130

Lattice parameters (Å, degrees): 8.916 8.916 16.959 90.00 90.00 90.00
Element x y z (fractional)
Ba  0.073  0.587  0.107
Ba  0.073  0.913  0.607
Ba  0.087  0.573  0.393
Ba  0.087  0.927  0.893
Ba  0.250  0.250  0.239
Ba  0.250  0.250  0.739
Ba  0.413  0.573  0.893
Ba  0.413  0.927  0.393
Ba  0.427  0.587  0.607
Ba  0.427  0.913  0.107
Ba  0.573  0.087  0.893
Ba  0.573  0.413  0.393
Ba  0.587  0.073  0.607
Ba  0.587  0.427  0.107
Ba  0.750  0.750  0.261
Ba  0.750  0.750  0.761
Ba  0.913  0.073  0.107
Ba  0.913  0.427  0.607
Ba  0.927  0.087  0.393
Ba  0.927  0.413  0.893
Ag  0.132  0.632  0.750
Ag  0.132  0.868  0.250
Ag  0.250  0.250  0.008
Ag  0.250  0.250  0.508
Ag  0.368  0.632  0.250
Ag  0.368  0.868  0.750
Ag  0.632  0.132  0.250
Ag  0.632  0.368  0.750
Ag  0.750  0.750  0.492
Ag  0.750  0.750  0.992
Ag  0.868  0.132  0.750
Ag  0.868  0.368  0.250


Run ii
Computed, not measured: Ba5Ag3 after structural relaxation at the PBE level of DFT.

- Space-group type: P6_3/mcm, No. 193

Lattice parameters (Å, degrees): 10.133 10.133 7.575 90.00 90.00 120.00
Element x y z (fractional)
Ba  0.000  0.259  0.250
Ba  0.000  0.741  0.750
Ba  0.259  0.000  0.250
Ba  0.259  0.259  0.750
Ba  0.333  0.667  0.000
Ba  0.333  0.667  0.500
Ba  0.667  0.333  0.000
Ba  0.667  0.333  0.500
Ba  0.741  0.000  0.750
Ba  0.741  0.741  0.250
Ag  0.000  0.392  0.750
Ag  0.000  0.608  0.250
Ag  0.392  0.000  0.750
Ag  0.392  0.392  0.250
Ag  0.608  0.000  0.250
Ag  0.608  0.608  0.750


From most stable to least stable, the computed energies give run i, run ii.


Run i
Computed, not measured: Ba3Ag after structural relaxation at the PBE level of DFT.

- Space-group type: Pm-3m, No. 221

Lattice parameters (Å, degrees): 6.627 6.627 6.627 90.00 90.00 90.00
Element x y z (fractional)
Ba  0.000  0.000  0.500
Ba  0.000  0.500  0.000
Ba  0.500  0.000  0.000
Ag  0.000  0.000  0.000


Run ii
Computed, not measured: Ba3Ag after structural relaxation at the PBE level of DFT.

- Space-group type: R-3m, No. 166

Lattice parameters (Å, degrees): 7.343 7.343 7.343 116.38 116.38 116.38
Element x y z (fractional)
Ba  0.000  0.500  0.500
Ba  0.500  0.000  0.500
Ba  0.500  0.500  0.000
Ag  0.000  0.000  0.000


From most stable to least stable, the computed energies give run i, run ii.


Run i
Computed, not measured: Ba3Ag after structural relaxation at the PBE level of DFT.

- Space-group type: P6_3/mmc, No. 194

Lattice parameters (Å, degrees): 8.100 8.100 13.011 90.00 90.00 120.00
Element x y z (fractional)
Ba  0.000  0.500  0.000
Ba  0.000  0.500  0.500
Ba  0.159  0.319  0.250
Ba  0.159  0.841  0.250
Ba  0.319  0.159  0.750
Ba  0.500  0.000  0.000
Ba  0.500  0.000  0.500
Ba  0.500  0.500  0.000
Ba  0.500  0.500  0.500
Ba  0.681  0.841  0.250
Ba  0.841  0.159  0.750
Ba  0.841  0.681  0.750
Ag  0.000  0.000  0.000
Ag  0.000  0.000  0.500
Ag  0.333  0.667  0.750
Ag  0.667  0.333  0.250


Run ii
Computed, not measured: Ba3Ag after structural relaxation at the PBE level of DFT.

- Space-group type: Pmm2, No. 25

Lattice parameters (Å, degrees): 4.291 4.427 11.358 90.00 90.00 90.00
Element x y z (fractional)
Ba  0.000  0.000  0.000
Ba  0.000  0.500  0.340
Ba  0.500  0.500  0.694
Ag  0.500  0.000  0.470


From most stable to least stable, the computed energies give run ii, run i.


Run i
Computed, not measured: Ba3Ag after structural relaxation at the PBE level of DFT.

- Space-group type: P4/mmm, No. 123

Lattice parameters (Å, degrees): 4.220 4.220 10.947 90.00 90.00 90.00
Element x y z (fractional)
Ba  0.000  0.000  0.000
Ba  0.500  0.500  0.322
Ba  0.500  0.500  0.678
Ag  0.000  0.000  0.500


Run ii
Computed, not measured: Ba3Ag after structural relaxation at the PBE level of DFT.

- Space-group type: Pmmn, No. 59

Lattice parameters (Å, degrees): 4.495 8.105 11.341 90.00 90.00 90.00
Element x y z (fractional)
Ba  0.250  0.005  0.165
Ba  0.250  0.250  0.536
Ba  0.250  0.495  0.165
Ba  0.750  0.505  0.835
Ba  0.750  0.750  0.464
Ba  0.750  0.995  0.835
Ag  0.250  0.750  0.685
Ag  0.750  0.250  0.315


From most stable to least stable, the computed energies give run i, run ii.


Run i
Computed, not measured: Ba3Ag after structural relaxation at the PBE level of DFT.

- Space-group type: Imm2, No. 44

Lattice parameters (Å, degrees): 7.918 7.918 7.918 148.41 59.41 131.08
Element x y z (fractional)
Ba  0.000  0.000  0.000
Ba  0.311  0.500  0.810
Ba  0.690  0.500  0.190
Ag  0.497  0.997  0.500


Run ii
Computed, not measured: Ba3Ag after structural relaxation at the PBE level of DFT.

- Space-group type: Fm-3m, No. 225

Lattice parameters (Å, degrees): 6.231 6.231 6.231 60.00 60.00 60.00
Element x y z (fractional)
Ba  0.000  0.000  0.000
Ba  0.250  0.250  0.250
Ba  0.750  0.750  0.750
Ag  0.500  0.500  0.500


From most stable to least stable, the computed energies give run i, run ii.


Run i
Computed, not measured: Ba3Ag after structural relaxation at the PBE level of DFT.

- Space-group type: Cmcm, No. 63

Lattice parameters (Å, degrees): 9.552 9.552 4.696 90.00 90.00 105.16
Element x y z (fractional)
Ba  0.117  0.883  0.750
Ba  0.183  0.445  0.750
Ba  0.445  0.183  0.250
Ba  0.555  0.817  0.750
Ba  0.817  0.555  0.250
Ba  0.883  0.117  0.250
Ag  0.276  0.724  0.250
Ag  0.724  0.276  0.750


Run ii
Computed, not measured: Ba3Ag after structural relaxation at the PBE level of DFT.

- Space-group type: Cmcm, No. 63

Lattice parameters (Å, degrees): 7.816 7.816 11.461 90.00 90.00 145.26
Element x y z (fractional)
Ba  0.079  0.921  0.750
Ba  0.357  0.643  0.568
Ba  0.357  0.643  0.932
Ba  0.643  0.357  0.068
Ba  0.643  0.357  0.432
Ba  0.921  0.079  0.250
Ag  0.248  0.752  0.250
Ag  0.752  0.248  0.750


Run iii
Computed, not measured: Ba3Ag after structural relaxation at the PBE level of DFT.

- Space-group type: P4/mmm, No. 123

Lattice parameters (Å, degrees): 6.257 6.257 4.762 90.00 90.00 90.00
Element x y z (fractional)
Ba  0.000  0.000  0.000
Ba  0.000  0.500  0.500
Ba  0.500  0.000  0.500
Ag  0.500  0.500  0.000


From most stable to least stable, the computed energies give run ii, run i, run iii.